Run 1
# GGA-PBE Tl2SbPd2, relaxed
data_Tl2SbPd2
_cell_length_a 7.7655
_cell_length_b 7.7655
_cell_length_c 3.6216
_cell_angle_alpha 90.00
_cell_angle_beta 90.00
_cell_angle_gamma 90.00
_space_group_name_H-M_alt 'P 1'
_space_group_IT_number 1
_space_group_name_Hall 'P 1'
loop_
_atom_site_label
_atom_site_fract_x
_atom_site_fract_y
_atom_site_fract_z
Tl1 0.1568 0.3432 0.0000
Tl2 0.3432 0.8432 0.0000
Tl3 0.6568 0.1568 0.0000
Tl4 0.8432 0.6568 0.0000
Sb1 0.0000 0.0000 0.5000
Sb2 0.5000 0.5000 0.5000
Pd1 0.1432 0.6432 0.5000
Pd2 0.3568 0.1432 0.5000
Pd3 0.6432 0.8568 0.5000
Pd4 0.8568 0.3568 0.5000
# SG: P4/mbm (127)
# Magnetic moment, μB per atom: 0.0000

***

Run 2
# GGA-PBE Tl2SbPd2, relaxed
data_Tl2SbPd2
_cell_length_a 8.8240
_cell_length_b 8.8240
_cell_length_c 8.8240
_cell_angle_alpha 155.12
_cell_angle_beta 155.12
_cell_angle_gamma 35.47
_space_group_name_H-M_alt 'P 1'
_space_group_IT_number 1
_space_group_name_Hall 'P 1'
loop_
_atom_site_label
_atom_site_fract_x
_atom_site_fract_y
_atom_site_fract_z
Tl1 0.1208 0.1208 0.0000
Tl2 0.8792 0.8792 0.0000
Sb1 0.5000 0.5000 0.0000
Pd1 0.2500 0.7500 0.5000
Pd2 0.7500 0.2500 0.5000
# SG: I4/mmm (139)
# Magnetic moment, μB per atom: 0.0000

***

Run 3
# GGA-PBE Tl2SbPd2, relaxed
data_Tl2SbPd2
_cell_length_a 7.2923
_cell_length_b 7.2923
_cell_length_c 7.2923
_cell_angle_alpha 147.03
_cell_angle_beta 147.03
_cell_angle_gamma 47.31
_space_group_name_H-M_alt 'P 1'
_space_group_IT_number 1
_space_group_name_Hall 'P 1'
loop_
_atom_site_label
_atom_site_fract_x
_atom_site_fract_y
_atom_site_fract_z
Tl1 0.2500 0.7500 0.5000
Tl2 0.7500 0.2500 0.5000
Sb1 0.0000 0.0000 0.0000
Pd1 0.4006 0.4006 0.0000
Pd2 0.5994 0.5994 0.0000
# SG: I4/mmm (139)
# Magnetic moment, μB per atom: 0.0000

***

Run 4
# GGA-PBE Tl2SbPd2, relaxed
data_Tl2SbPd2
_cell_length_a 8.4061
_cell_length_b 8.4061
_cell_length_c 3.1013
_cell_angle_alpha 90.00
_cell_angle_beta 90.00
_cell_angle_gamma 90.00
_space_group_name_H-M_alt 'P 1'
_space_group_IT_number 1
_space_group_name_Hall 'P 1'
loop_
_atom_site_label
_atom_site_fract_x
_atom_site_fract_y
_atom_site_fract_z
Tl1 0.1502 0.3498 0.0000
Tl2 0.3498 0.8498 0.0000
Tl3 0.6502 0.1502 0.0000
Tl4 0.8498 0.6502 0.0000
Sb1 0.0000 0.0000 0.0000
Sb2 0.5000 0.5000 0.0000
Pd1 0.1441 0.6441 0.5000
Pd2 0.3559 0.1441 0.5000
Pd3 0.6441 0.8559 0.5000
Pd4 0.8559 0.3559 0.5000
# SG: P4/mbm (127)
# Magnetic moment, μB per atom: 0.0000

***

run 1 comes first in stability; the runner-up is 138 meV/atom higher.